Computed, not measured: an optimized crystal structure of MnAlMoIrF at the GGA+U level of DFT.

a = 10.352 Å, b = 2.995 Å, c = 6.873 Å
α = 90.00°, β = 130.12°, γ = 90.00°
Space group Cm (No. 8)
One atom of each set of equivalent atoms:
Mn  0.000  0.000  0.000 [2 per cell]
Al  0.352  0.500  0.256 [2 per cell]
Mo  0.180  0.000  0.804 [2 per cell]
Ir  0.398  0.000  0.594 [2 per cell]
F  0.077  0.000  0.380 [2 per cell]

Output
ΔE to the lowest computed polymorph ... 3.56 kcal/mol of atoms
Uncorrected energy ... -61.14 eV per cell